No. 1
Entry from the Alexandria database: a relaxed structure of Li2LaZnF8 (PBE).

Unit cell a=5.7268 b=5.7268 c=6.5270 alpha=90.00 beta=90.00 gamma=120.00
Last column: magnetic moment on the atom in μB.
Fractional coordinates of all 12 atoms:
Li1 0.3333 0.6667 0.7519  0.00
Li2 0.6667 0.3333 0.2481  0.00
La1 0.0000 0.0000 0.5000  -0.01
Zn1 0.0000 0.0000 0.0000  0.10
F1 0.1507 0.3014 0.7907  0.05
F2 0.1507 0.8493 0.7907  0.05
F3 0.6986 0.8493 0.7907  0.05
F4 0.3014 0.1507 0.2093  0.05
F5 0.6667 0.3333 0.5351  0.30
F6 0.3333 0.6667 0.4649  0.30
F7 0.8493 0.6986 0.2093  0.05
F8 0.8493 0.1507 0.2093  0.05

## Properties
Energy   -58.51 eV per cell
Crystal system   trigonal
Volume   185.38 Å³ per cell
Space group   P-3m1 (164)

---

No. 2
Entry from the Alexandria database: a relaxed structure of Li2LaZnF (PBE).

Unit cell a=4.2966 b=4.2966 c=5.1838 alpha=90.00 beta=90.00 gamma=90.00
Fractional coordinates of all 5 atoms:
Zn1 0.5000 0.5000 0.5000
F1 0.0000 0.0000 0.0000
Li1 0.0000 0.5000 0.0000
Li2 0.5000 0.0000 0.0000
La1 0.0000 0.0000 0.5000

## Properties
Energy   -17.30 eV per cell
Crystal system   tetragonal
Volume   95.70 Å³ per cell
Space group   P4/mmm (123)

---

No. 3
Entry from the Alexandria database: a relaxed structure of LiLa2ZnF (PBE).

Unit cell a=5.3071 b=5.3071 c=3.9152 alpha=90.00 beta=90.00 gamma=90.00
Fractional coordinates of all 5 atoms:
Zn1 0.5000 0.5000 0.5000
F1 0.0000 0.0000 0.0000
Li1 0.0000 0.0000 0.5000
La1 0.0000 0.5000 0.0000
La2 0.5000 0.0000 0.0000

## Properties
Energy   -20.66 eV per cell
Crystal system   tetragonal
Volume   110.27 Å³ per cell
Space group   P4/mmm (123)

---

No. 4
Entry from the Alexandria database: a relaxed structure of LaMg2F (PBE).

Unit cell a=5.2662 b=5.2662 c=5.2662 alpha=60.00 beta=60.00 gamma=60.00
Fractional coordinates of all 4 atoms:
Mg1 0.2500 0.2500 0.2500
Mg2 0.7500 0.7500 0.7500
F1 0.0000 0.0000 0.0000
La1 0.5000 0.5000 0.5000

## Properties
Energy   -11.12 eV per cell
Offset from the most stable computed form   695.4 meV per atom
Crystal system   cubic
Volume   103.27 Å³ per cell
Space group   Fm-3m (225)

---

No. 5
Entry from the Alexandria database: a relaxed structure of LaMgF3 (PBE).

Unit cell a=4.7705 b=4.7705 c=4.7705 alpha=90.00 beta=90.00 gamma=90.00
Fractional coordinates of all 5 atoms:
Mg1 0.5000 0.5000 0.5000
F1 0.0000 0.5000 0.0000
F2 0.0000 0.0000 0.5000
F3 0.5000 0.0000 0.0000
La1 0.0000 0.0000 0.0000

## Properties
Energy   -26.82 eV per cell
Offset from the most stable computed form   0.0 meV per atom
Crystal system   cubic
Volume   108.57 Å³ per cell
Space group   Pm-3m (221)

---

No. 6
Entry from the Alexandria database: a relaxed structure of La3Mg5F12 (PBE).

Unit cell a=12.0478 b=12.0478 c=12.0478 alpha=109.47 beta=109.47 gamma=109.47
Fractional coordinates of all 80 atoms:
La1 0.7500 0.3750 0.1250
La2 0.8750 0.7500 0.1250
La3 0.3750 0.7500 0.6250
La4 0.2500 0.1250 0.3750
La5 0.8750 0.1250 0.2500
La6 0.3750 0.6250 0.2500
La7 0.6250 0.3750 0.7500
La8 0.1250 0.8750 0.7500
La9 0.7500 0.8750 0.6250
La10 0.6250 0.2500 0.3750
La11 0.1250 0.2500 0.8750
La12 0.2500 0.6250 0.8750
Mg1 0.1250 0.3750 0.2500
Mg2 0.0000 0.5000 0.0000
Mg3 0.0000 0.0000 0.0000
Mg4 0.3750 0.2500 0.1250
Mg5 0.5000 0.0000 0.5000
Mg6 0.5000 0.5000 0.0000
Mg7 0.1250 0.7500 0.3750
Mg8 0.7500 0.1250 0.8750
Mg9 0.7500 0.6250 0.3750
Mg10 0.3750 0.1250 0.7500
Mg11 0.6250 0.8750 0.2500
Mg12 0.5000 0.5000 0.5000
Mg13 0.5000 0.0000 0.0000
Mg14 0.0000 0.0000 0.5000
Mg15 0.2500 0.3750 0.6250
Mg16 0.2500 0.8750 0.1250
Mg17 0.0000 0.5000 0.5000
Mg18 0.8750 0.2500 0.6250
Mg19 0.6250 0.7500 0.8750
Mg20 0.8750 0.6250 0.7500
F1 0.7021 0.0995 0.0541
F2 0.3519 0.5541 0.4546
F3 0.9459 0.4005 0.2979
F4 0.5541 0.2021 0.0995
F5 0.6026 0.7021 0.6481
F6 0.9459 0.5454 0.1481
F7 0.3519 0.7979 0.3974
F8 0.0454 0.8974 0.0995
F9 0.5454 0.9459 0.6481
F10 0.7021 0.6026 0.1481
F11 0.7979 0.4459 0.4005
F12 0.8519 0.9546 0.0541
F13 0.0995 0.7021 0.5541
F14 0.4005 0.4546 0.1026
F15 0.1026 0.9546 0.4005
F16 0.3974 0.0995 0.5454
F17 0.1026 0.1481 0.2021
F18 0.4459 0.6481 0.0454
F19 0.8519 0.8974 0.2979
F20 0.0995 0.3974 0.0454
F21 0.4005 0.9459 0.7979
F22 0.5454 0.5995 0.3974
F23 0.9546 0.8519 0.5541
F24 0.7979 0.3519 0.8974
F25 0.4546 0.4005 0.6026
F26 0.0454 0.1481 0.4459
F27 0.2021 0.6481 0.1026
F28 0.1481 0.1026 0.7021
F29 0.5995 0.0541 0.2021
F30 0.9005 0.6026 0.9546
F31 0.5541 0.3519 0.9546
F32 0.6026 0.9005 0.4546
F33 0.8974 0.8519 0.7979
F34 0.8974 0.0454 0.5995
F35 0.9005 0.2979 0.4459
F36 0.1481 0.0454 0.9459
F37 0.5995 0.5454 0.8974
F38 0.4546 0.0541 0.3519
F39 0.2979 0.3974 0.8519
F40 0.2021 0.5541 0.5995
F41 0.9546 0.1026 0.9005
F42 0.6481 0.2021 0.6026
F43 0.4459 0.7979 0.9005
F44 0.0541 0.4546 0.8519
F45 0.3974 0.2979 0.3519
F46 0.0541 0.5995 0.7021
F47 0.6481 0.4459 0.5454
F48 0.2979 0.9005 0.9459

## Properties
Energy   -409.60 eV per cell
Crystal system   cubic
Volume   1346.18 Å³ per cell
Space group   Ia-3d (230)